[1]
The following is a DFT calculation (PBE-GGA) of a relaxed structure of BaNa3Hg4Br12. Values from VASP.

Quantum ESPRESSO input file:
```
&SYSTEM
  ibrav = 0, nat = 20, ntyp = 4
/
ATOMIC_SPECIES
Ba 137.33 Ba.upf
Na 22.99 Na.upf
Hg 200.59 Hg.upf
Br 79.90 Br.upf
CELL_PARAMETERS angstrom
7.749 4.474 3.800
-7.749 4.474 3.800
0.000 -8.948 3.800
ATOMIC_POSITIONS crystal
Ba 0.000 0.000 0.000
Na 0.000 0.554 0.446
Na 0.446 0.000 0.554
Na 0.554 0.446 0.000
Hg 0.057 0.500 0.943
Hg 0.500 0.500 0.500
Hg 0.500 0.943 0.057
Hg 0.943 0.057 0.500
Br 0.035 0.685 0.784
Br 0.112 0.888 0.500
Br 0.216 0.315 0.965
Br 0.315 0.965 0.216
Br 0.331 0.669 0.500
Br 0.500 0.112 0.888
Br 0.500 0.331 0.669
Br 0.669 0.500 0.331
Br 0.685 0.784 0.035
Br 0.784 0.035 0.685
Br 0.888 0.500 0.112
Br 0.965 0.216 0.315
```

Computed properties:
For the magnetization, the calculation gives 0.0 μB/f.u. The crystal system is trigonal. As for the density: 4.133 Mg/m³. As for the symmetry: R32 (155). The calculation puts the volume at 790.46 Å³/cell. The value obtained for the total energy is -2.28 eV per atom.



[2]
The following is a DFT calculation (PBE-GGA) of a relaxed structure of GaAg5S4. Values from VASP.

Quantum ESPRESSO input file:
```
&SYSTEM
  ibrav = 0, nat = 10, ntyp = 3
/
ATOMIC_SPECIES
Ga 69.72 Ga.upf
Ag 107.87 Ag.upf
S 32.06 S.upf
CELL_PARAMETERS angstrom
7.912 -1.881 0.000
7.912 1.881 0.000
-3.423 0.000 6.525
ATOMIC_POSITIONS crystal
Ga 0.000 0.000 0.000
Ag 0.000 0.000 0.500
Ag 0.324 0.324 0.117
Ag 0.324 0.324 0.532
Ag 0.676 0.676 0.468
Ag 0.676 0.676 0.883
S 0.181 0.181 0.181
S 0.500 0.500 0.236
S 0.500 0.500 0.764
S 0.819 0.819 0.819
```

Computed properties:
For the magnetization, the calculation gives 0.0 μB/f.u. The crystal system is monoclinic. As for the density: 6.303 Mg/m³. As for the symmetry: C2/m (12). The calculation puts the volume at 194.26 Å³/cell. The value obtained for the total energy is -3.45 eV per atom.



[3]
The following is a DFT calculation (PBE-GGA) of a relaxed structure of EuMgNi. Values from VASP.

Quantum ESPRESSO input file:
```
&SYSTEM
  ibrav = 0, nat = 3, ntyp = 3
/
ATOMIC_SPECIES
Eu 151.96 Eu.upf
Mg 24.30 Mg.upf
Ni 58.69 Ni.upf
CELL_PARAMETERS angstrom
4.489 0.000 0.000
-2.244 3.887 0.000
0.000 0.000 4.024
ATOMIC_POSITIONS crystal
Eu 0.000 0.000 0.000
Mg 0.667 0.333 0.500
Ni 0.333 0.667 0.500
```

Computed properties:
For the magnetization, the calculation gives 7.1 μB/f.u. Its formation energy is -0.01 eV per atom. The crystal system is hexagonal. As for the density: 5.557 Mg/m³. As for the symmetry: P-6m2 (187). The calculation puts the volume at 70.21 Å³/cell.



[4]
The following is a DFT calculation (PBE-GGA) of a relaxed structure of Rb2NbP2N6. Values from VASP.

Quantum ESPRESSO input file:
```
&SYSTEM
  ibrav = 0, nat = 11, ntyp = 4
/
ATOMIC_SPECIES
Rb 85.47 Rb.upf
Nb 92.91 Nb.upf
P 30.97 P.upf
N 14.01 N.upf
CELL_PARAMETERS angstrom
2.839 1.639 6.400
-2.839 1.639 6.400
0.000 -3.278 6.400
ATOMIC_POSITIONS crystal
Rb 0.206 0.206 0.206
Rb 0.794 0.794 0.794
Nb 0.000 0.000 0.000
P 0.395 0.395 0.395
P 0.605 0.605 0.605
N 0.238 0.238 0.717
N 0.238 0.717 0.238
N 0.283 0.762 0.762
N 0.717 0.238 0.238
N 0.762 0.283 0.762
N 0.762 0.762 0.283
```

Computed properties:
For the magnetization, the calculation gives 0.0 μB/f.u. The crystal system is trigonal. As for the density: 3.809 Mg/m³. As for the symmetry: R-3m (166). The calculation puts the volume at 178.65 Å³/cell. The value obtained for the total energy is -6.93 eV per atom.



Copy entry 4 word for word.
The following is a DFT calculation (PBE-GGA) of a relaxed structure of Rb2NbP2N6. Values from VASP.

Quantum ESPRESSO input file:
```
&SYSTEM
  ibrav = 0, nat = 11, ntyp = 4
/
ATOMIC_SPECIES
Rb 85.47 Rb.upf
Nb 92.91 Nb.upf
P 30.97 P.upf
N 14.01 N.upf
CELL_PARAMETERS angstrom
2.839 1.639 6.400
-2.839 1.639 6.400
0.000 -3.278 6.400
ATOMIC_POSITIONS crystal
Rb 0.206 0.206 0.206
Rb 0.794 0.794 0.794
Nb 0.000 0.000 0.000
P 0.395 0.395 0.395
P 0.605 0.605 0.605
N 0.238 0.238 0.717
N 0.238 0.717 0.238
N 0.283 0.762 0.762
N 0.717 0.238 0.238
N 0.762 0.283 0.762
N 0.762 0.762 0.283
```

Computed properties:
For the magnetization, the calculation gives 0.0 μB/f.u. The crystal system is trigonal. As for the density: 3.809 Mg/m³. As for the symmetry: R-3m (166). The calculation puts the volume at 178.65 Å³/cell. The value obtained for the total energy is -6.93 eV per atom.